# Rb2AgMoF6 (PBE+U, optimized geometry)
# Raw total energy (eV per atom): -4.7080
data_Rb2AgMoF6
_chemical_formula_sum 'Rb4 Ag2 Mo2 F12'
_cell_length_a 6.430
_cell_length_b 6.430
_cell_length_c 9.108
_cell_angle_alpha 90.00
_cell_angle_beta 90.00
_cell_angle_gamma 90.00
_symmetry_space_group_name_H-M 'I 4/m m m'
_symmetry_Int_Tables_number 139
_symmetry_space_group_name_Hall '-I 4 2'
loop_
_atom_site_label
_atom_site_fract_x
_atom_site_fract_y
_atom_site_fract_z
Rb1 0.000 0.500 0.250
Ag1 0.000 0.000 0.000
Mo1 0.000 0.000 0.500
F1 0.000 0.000 0.269
F2 0.231 0.231 0.500